{"formula": "YbEuFe4O8", "functional": "PBE with a Hubbard U", "state": "optimized geometry", "space_group": "P2/m", "energy_ev_per_atom": -7.221, "magnetic_moment_mub_per_fu": 6.99, "cell": [[3.540, 0.000, 0.000], [0.000, 8.773, -0.009], [0.000, 1.394, 5.951]], "species": ["O", "O", "O", "O", "O", "O", "O", "O", "Fe", "Fe", "Fe", "Fe", "Eu", "Yb"], "fractional_positions": [[0.000, 0.131, 0.296], [0.000, 0.869, 0.704], [0.000, 0.392, 0.860], [0.500, 0.607, 0.626], [0.500, 0.393, 0.374], [0.000, 0.608, 0.140], [0.500, 0.140, 0.780], [0.500, 0.860, 0.220], [0.000, 0.644, 0.790], [0.000, 0.356, 0.210], [0.500, 0.639, 0.294], [0.500, 0.361, 0.706], [0.000, 0.000, 0.000], [0.500, 0.000, 0.500]]}